[1]
An optimized crystal structure of CsSr2F. Source: Alexandria, functional PBE.

Lattice parameters (Å, degrees): 6.721 6.721 6.721 60.00 60.00 60.00
Fractional positions:
Cs 0.000 0.000 0.000
Sr 0.250 0.250 0.250
Sr 0.750 0.750 0.750
F 0.500 0.500 0.500

The formation energy from raw total energies is -315.5 meV/atom. For the calculated volume, the calculation gives 53.66 Å³/atom. The calculation puts the energy above the most stable polymorph in this dataset at 0.976 eV per atom. As for the density of states at the Fermi level: 2.60 states/eV/f.u.

=====

[2]
An optimized crystal structure of Gd2DyHo. Source: Alexandria, functional PBE.

Lattice parameters (Å, degrees): 5.664 5.664 5.664 60.00 60.00 60.00
Fractional positions:
Gd 0.250 0.250 0.250
Gd 0.750 0.750 0.750
Dy 0.000 0.000 0.000
Ho 0.500 0.500 0.500

For the calculated volume, the calculation gives 32.13 Å³/atom. The calculation puts the energy above the most stable polymorph in this dataset at 0.077 eV per atom. As for the calculated formation energy: 9.81 kJ per mole of atoms. As for the density of states at the Fermi level: 7.12 states/eV/f.u.

=====

[3]
An optimized crystal structure of AgIrCl2. Source: Alexandria, functional PBE.

Lattice parameters (Å, degrees): 6.534 6.534 3.508 90.00 90.00 131.26
Fractional positions:
Ag 0.000 0.000 0.000
Ir 0.500 0.500 0.000
Cl 0.370 0.630 0.500
Cl 0.630 0.370 0.500

The formation energy from raw total energies is 51.9 meV/atom. For the calculated volume, the calculation gives 28.14 Å³/atom. The calculation puts the energy above the most stable polymorph in this dataset at 0.017 eV per atom. As for the density of states at the Fermi level: 1.89 states/eV/f.u.

=====

[4]
An optimized crystal structure of YZnPt6. Source: Alexandria, functional PBE.

Lattice parameters (Å, degrees): 4.061 4.061 7.956 90.00 90.00 90.00
Fractional positions:
Y 0.000 0.000 0.000
Zn 0.000 0.000 0.500
Pt 0.000 0.500 0.266
Pt 0.000 0.500 0.734
Pt 0.500 0.000 0.266
Pt 0.500 0.000 0.734
Pt 0.500 0.500 0.000
Pt 0.500 0.500 0.500

For the calculated volume, the calculation gives 16.40 Å³/atom. As for the calculated formation energy: -64.14 kJ per mole of atoms. As for the density of states at the Fermi level: 6.52 states/eV/f.u.

=====

[5]
An optimized crystal structure of AsPS2. Source: Alexandria, functional PBE.

Lattice parameters (Å, degrees): 6.016 12.588 5.156 90.00 90.00 90.00
Fractional positions:
As 0.079 0.085 0.000
As 0.421 0.585 0.500
As 0.579 0.415 0.000
As 0.921 0.915 0.500
P 0.002 0.526 0.512
P 0.498 0.026 0.012
P 0.502 0.974 0.512
P 0.998 0.474 0.012
S 0.039 0.085 0.546
S 0.162 0.335 0.031
S 0.338 0.835 0.531
S 0.461 0.585 0.046
S 0.539 0.415 0.546
S 0.662 0.165 0.031
S 0.838 0.665 0.531
S 0.961 0.915 0.046

The formation energy from raw total energies is 56.1 meV/atom. For the calculated volume, the calculation gives 24.40 Å³/atom. The calculation puts the energy above the most stable polymorph in this dataset at 0.073 eV per atom. As for the density of states at the Fermi level: 1.32 states/eV/f.u.

=====

[6]
An optimized crystal structure of Gd3Mn5Te12. Source: Alexandria, functional PBE.

Lattice parameters (Å, degrees): 14.672 14.672 14.672 109.47 109.47 109.47
Fractional positions:
Gd 0.125 0.250 0.375
Gd 0.125 0.375 0.750
Gd 0.250 0.375 0.125
Gd 0.250 0.875 0.625
Gd 0.375 0.125 0.250
Gd 0.375 0.750 0.125
Gd 0.625 0.250 0.875
Gd 0.625 0.875 0.750
Gd 0.750 0.125 0.375
Gd 0.750 0.625 0.875
Gd 0.875 0.625 0.250
Gd 0.875 0.750 0.625
Mn 0.000 0.000 0.000
Mn 0.000 0.000 0.500
Mn 0.000 0.500 0.000
Mn 0.000 0.500 0.500
Mn 0.125 0.750 0.875
Mn 0.125 0.875 0.250
Mn 0.250 0.125 0.875
Mn 0.250 0.625 0.375
Mn 0.375 0.250 0.625
Mn 0.375 0.625 0.750
Mn 0.500 0.000 0.000
Mn 0.500 0.000 0.500
Mn 0.500 0.500 0.000
Mn 0.500 0.500 0.500
Mn 0.625 0.375 0.250
Mn 0.625 0.750 0.375
Mn 0.750 0.375 0.625
Mn 0.750 0.875 0.125
Mn 0.875 0.125 0.750
Mn 0.875 0.250 0.125
Te 0.034 0.209 0.120
Te 0.034 0.326 0.914
Te 0.086 0.620 0.411
Te 0.086 0.966 0.674
Te 0.089 0.709 0.674
Te 0.089 0.880 0.414
Te 0.120 0.034 0.209
Te 0.120 0.586 0.911
Te 0.174 0.209 0.589
Te 0.174 0.466 0.586
Te 0.209 0.120 0.034
Te 0.209 0.589 0.174
Te 0.291 0.326 0.911
Te 0.291 0.466 0.380
Te 0.326 0.911 0.291
Te 0.326 0.914 0.034
Te 0.380 0.291 0.466
Te 0.380 0.589 0.914
Te 0.411 0.086 0.620
Te 0.411 0.826 0.791
Te 0.414 0.089 0.880
Te 0.414 0.826 0.534
Te 0.466 0.380 0.291
Te 0.466 0.586 0.174
Te 0.534 0.414 0.826
Te 0.534 0.620 0.709
Te 0.586 0.174 0.466
Te 0.586 0.911 0.120
Te 0.589 0.174 0.209
Te 0.589 0.914 0.380
Te 0.620 0.411 0.086
Te 0.620 0.709 0.534
Te 0.674 0.086 0.966
Te 0.674 0.089 0.709
Te 0.709 0.534 0.620
Te 0.709 0.674 0.089
Te 0.791 0.411 0.826
Te 0.791 0.880 0.966
Te 0.826 0.534 0.414
Te 0.826 0.791 0.411
Te 0.880 0.414 0.089
Te 0.880 0.966 0.791
Te 0.911 0.120 0.586
Te 0.911 0.291 0.326
Te 0.914 0.034 0.326
Te 0.914 0.380 0.589
Te 0.966 0.674 0.086
Te 0.966 0.791 0.880

The formation energy from raw total energies is -536.7 meV/atom. For the calculated volume, the calculation gives 30.39 Å³/atom. As for the density of states at the Fermi level: 10.56 states/eV/f.u.

=====

[7]
An optimized crystal structure of YSi2Hg. Source: Alexandria, functional PBE.

Lattice parameters (Å, degrees): 5.604 5.604 4.561 110.62 110.62 38.97
Fractional positions:
Y 0.000 0.000 0.000
Si 0.416 0.416 0.424
Si 0.754 0.754 0.197
Hg 0.210 0.210 0.680

The formation energy from raw total energies is -205.1 meV/atom. For the calculated volume, the calculation gives 20.90 Å³/atom. As for the density of states at the Fermi level: 1.66 states/eV/f.u.

=====

[8]
An optimized crystal structure of Y3TlS6. Source: Alexandria, functional PBE.

Lattice parameters (Å, degrees): 8.615 8.615 6.664 90.00 90.00 102.85
Fractional positions:
Y 0.094 0.906 0.500
Y 0.215 0.411 0.410
Y 0.411 0.215 0.910
Y 0.589 0.785 0.410
Y 0.785 0.589 0.910
Y 0.906 0.094 0.000
Tl 0.298 0.702 0.892
Tl 0.702 0.298 0.392
S 0.052 0.599 0.672
S 0.131 0.194 0.707
S 0.194 0.131 0.207
S 0.279 0.721 0.266
S 0.401 0.948 0.672
S 0.470 0.530 0.707
S 0.530 0.470 0.207
S 0.599 0.052 0.172
S 0.721 0.279 0.766
S 0.806 0.869 0.707
S 0.869 0.806 0.207
S 0.948 0.401 0.172

The formation energy from raw total energies is -1567.7 meV/atom. For the calculated volume, the calculation gives 24.11 Å³/atom.

=====

[9]
An optimized crystal structure of TmNbOsRu. Source: Alexandria, functional PBE.

Lattice parameters (Å, degrees): 4.608 4.608 4.608 60.00 60.00 60.00
Fractional positions:
Tm 0.000 0.000 0.000
Nb 0.500 0.500 0.500
Os 0.250 0.250 0.250
Ru 0.750 0.750 0.750

For the calculated volume, the calculation gives 17.30 Å³/atom. The calculation puts the energy above the most stable polymorph in this dataset at 0.030 eV per atom. As for the calculated formation energy: -31.28 kJ per mole of atoms. As for the density of states at the Fermi level: 2.13 states/eV/f.u.

=====

[10]
An optimized crystal structure of TmThMgIn. Source: Alexandria, functional PBE.

Lattice parameters (Å, degrees): 5.364 5.364 5.364 60.00 60.00 60.00
Fractional positions:
Tm 0.000 0.000 0.000
Th 0.500 0.500 0.500
Mg 0.750 0.750 0.750
In 0.250 0.250 0.250

For the calculated volume, the calculation gives 27.28 Å³/atom. As for the calculated formation energy: -16.12 kJ per mole of atoms. As for the density of states at the Fermi level: 3.28 states/eV/f.u.

=====

[11]
An optimized crystal structure of Be2PBr. Source: Alexandria, functional PBE.

Lattice parameters (Å, degrees): 3.438 3.582 4.717 90.00 90.00 90.00
Fractional positions:
Be 0.000 0.000 0.000
Be 0.500 0.500 0.500
P 0.000 0.000 0.500
Br 0.500 0.500 0.000

The formation energy from raw total energies is 184.1 meV/atom. For the calculated volume, the calculation gives 14.52 Å³/atom. The calculation puts the energy above the most stable polymorph in this dataset at 0.586 eV per atom. As for the density of states at the Fermi level: 0.57 states/eV/f.u.

=====

[12]
An optimized crystal structure of SbW2Au. Source: Alexandria, functional PBE.

Lattice parameters (Å, degrees): 9.264 9.264 9.264 18.72 18.72 18.72
Fractional positions:
Sb 0.000 0.000 0.000
W 0.250 0.250 0.250
W 0.750 0.750 0.750
Au 0.500 0.500 0.500

The formation energy from raw total energies is 689.9 meV/atom. For the calculated volume, the calculation gives 17.89 Å³/atom. As for the density of states at the Fermi level: 3.74 states/eV/f.u.